# GGA+U CoP2ClF, optimized geometry
# VASP energy = -18.0 eV per cell
# V = 84 Å³ per cell
# density of states at the Fermi level = 2.5 states/eV per cell
# distance to the lowest polymorph of the same formula = 263 meV per atom
data_CoP2ClF
_cell_length_a 4.253
_cell_length_b 4.253
_cell_length_c 4.632
_cell_angle_alpha 90.00
_cell_angle_beta 90.00
_cell_angle_gamma 90.00
_symmetry_space_group_name_H-M 'P 4/m m m'
_symmetry_Int_Tables_number 123
_symmetry_space_group_name_Hall '-P 4 2'
loop_
_atom_site_label
_atom_site_type_symbol
_atom_site_fract_x
_atom_site_fract_y
_atom_site_fract_z
Co1 Co 0.000 0.000 0.000
P1 P 0.000 0.500 0.000
Cl1 Cl 0.000 0.000 0.500
F1 F 0.500 0.500 0.500